Entry 1:
Density functional theory data (PBE-GGA) for an optimized crystal structure of La2AgN.

Cell: 6.4732 3.7331 8.1939 Å, 90.00 105.15 90.00°
With the nearest neighbours (Å) after each atom.
Space group C2/m (No. 12)
Inequivalent atoms, fractional coordinates:
La (0.2269, 0.0000, 0.1811) x4  3 N 2.59
Ag (0.0000, 0.0000, 0.5000) x2  6 La 3.31-3.32
N (0.0000, 0.5000, 0.0000) x2  6 La 2.59

Computed properties:
* magnetic moment: 0.0 μB per formula unit
* crystal system: monoclinic
* formation energy (no corrections): -691 meV/atom

Entry 2:
Density functional theory data (PBE-GGA) for an optimized crystal structure of TaCr4Pb.

Cell: 7.0287 7.0287 7.0287 Å, 90.00 90.00 90.00°
With the nearest neighbours (Å) after each atom.
Space group F-43m (No. 216)
Inequivalent atoms, fractional coordinates:
Ta (0.0000, 0.0000, 0.0000) x4  12 Cr 2.91, 4 Pb 3.04
Cr (0.1250, 0.1250, 0.3750) x16  6 Cr 2.48-2.49
Pb (0.2500, 0.2500, 0.7500) x4  12 Cr 2.91, 4 Ta 3.04

Computed properties:
* magnetic moment: 0.0 μB per formula unit
* crystal system: cubic
* raw total energy: -8.741 eV per atom

Entry 3:
Density functional theory data (PBE-GGA) for an optimized crystal structure of LiPd5Pb3.

Cell: 7.0337 7.0337 14.6452 Å, 90.00 90.00 90.00°
With the nearest neighbours (Å) after each atom.
Space group I4/mcm (No. 140)
Inequivalent atoms, fractional coordinates:
Li (0.0000, 0.5000, 0.2500) x4  4 Pd 2.60
Pd (0.0000, 0.0000, 0.0000) x4  4 Pb 2.71
Pd (0.2220, 0.2780, 0.1563) x16  1 Li 2.60, 3 Pb 2.66-2.85, 1 Pd 2.80
Pb (0.0000, 0.0000, 0.2500) x4  8 Pd 2.85
Pb (0.1408, 0.3592, 0.5000) x8  4 Pd 2.66-2.71, 1 Pb 2.80

Computed properties:
* magnetic moment: 0.0 μB per formula unit
* crystal system: tetragonal
* energy relative to the lowest polymorph listed for this composition: 190.2 meV per atom

Entry 4:
Density functional theory data (PBE-GGA) for an optimized crystal structure of Sc4Te3H.

Cell: 8.9109 7.7757 5.7252 Å, 90.00 90.00 90.00°
With the nearest neighbours (Å) after each atom.
Space group Pmn2_1 (No. 31)
Inequivalent atoms, fractional coordinates:
Sc (0.0000, 0.1152, 0.0000) x2  1 H 2.10
Sc (0.0000, 0.8710, 0.4882) x2  1 H 2.07
Sc (0.1865, 0.7461, 0.0005) x4  1 H 2.10
Te (0.0000, 0.2306, 0.5002) x2  5 Sc 2.80-3.00
Te (0.2428, 0.6406, 0.4997) x4  5 Sc 2.81-3.07
H (0.0000, 0.8686, 0.8499) x2  4 Sc 2.07-2.10

Computed properties:
* magnetic moment: 0.0 μB per formula unit
* crystal system: orthorhombic
* raw total energy: -5.544 eV per atom

Entry 5:
Density functional theory data (PBE-GGA) for an optimized crystal structure of ScCoRu.

Cell: 4.9537 5.0673 7.1742 Å, 90.00 90.00 90.00°
With the nearest neighbours (Å) after each atom.
Space group Imma (No. 74)
Inequivalent atoms, fractional coordinates:
Sc (0.0000, 0.2500, 0.1248) x4  6 Ru 2.92-2.98, 6 Co 2.96, 4 Sc 3.06-3.10
Co (0.2500, 0.2500, 0.7500) x4  2 Co 2.48, 4 Ru 2.52
Ru (0.0000, 0.0000, 0.5000) x4  4 Co 2.52, 2 Ru 2.53

Computed properties:
* magnetic moment: 0.6 μB per formula unit
* crystal system: orthorhombic
* energy relative to the lowest polymorph listed for this composition: 0.0 meV per atom

Entry 6:
Density functional theory data (PBE-GGA) for an optimized crystal structure of LiSiW2.

Cell: 3.7936 3.7936 7.9168 Å, 90.00 90.00 90.00°
With the nearest neighbours (Å) after each atom.
Space group I4/mmm (No. 139)
Inequivalent atoms, fractional coordinates:
Li (0.0000, 0.0000, 0.0000) x2  4 Si 2.68, 8 W 2.74
Si (0.0000, 0.0000, 0.5000) x2  4 Li 2.68, 8 W 2.74
W (0.0000, 0.5000, 0.2500) x4  4 W 2.68, 4 Li 2.74, 4 Si 2.74

Computed properties:
* magnetic moment: 0.0 μB per formula unit
* crystal system: tetragonal
* formation energy (no corrections): 233 meV/atom

Entry 7:
Density functional theory data (PBE-GGA) for an optimized crystal structure of Cs3Pr2NdSe6.

Cell: 7.6638 13.2734 8.7958 Å, 90.00 106.89 90.00°
With the nearest neighbours (Å) after each atom.
Space group C2/m (No. 12)
Inequivalent atoms, fractional coordinates:
Cs (0.0000, 0.0000, 0.0000) x2  6 Se 3.64-3.65
Cs (0.0000, 0.3330, 0.0000) x4  6 Se 3.64-3.65
Pr (0.0000, 0.1666, 0.5000) x4  6 Se 3.03
Nd (0.0000, 0.5000, 0.5000) x2  6 Se 3.01
Se (0.2296, 0.3342, 0.6913) x8  1 Nd 3.01, 2 Pr 3.03
Se (0.2322, 0.0000, 0.6914) x4  1 Nd 3.01, 2 Pr 3.03

Computed properties:
* magnetic moment: 0.0 μB per formula unit
* crystal system: monoclinic
* formation energy (no corrections): -1728 meV/atom

Entry 8:
Density functional theory data (PBE-GGA) for an optimized crystal structure of Nd2Y2Al4Cu.

Cell: 7.0272 7.0272 8.8127 Å, 90.00 90.00 90.00°
With the nearest neighbours (Å) after each atom.
Space group I4/mmm (No. 139)
Inequivalent atoms, fractional coordinates:
Nd (0.0000, 0.5000, 0.2500) x4  8 Al 3.32, 4 Y 3.55
Y (0.0000, 0.0000, 0.1924) x4  1 Cu 2.71
Al (0.2376, 0.2376, 0.5000) x8  1 Cu 2.36
Cu (0.0000, 0.0000, 0.5000) x2  4 Al 2.36

Computed properties:
* magnetic moment: 0.0 μB per formula unit
* crystal system: tetragonal
* raw total energy: -4.855 eV per atom

Entry 9:
Density functional theory data (PBE-GGA) for an optimized crystal structure of LaNdZnCd.

Cell: 7.6297 7.6297 7.6297 Å, 90.00 90.00 90.00°
With the nearest neighbours (Å) after each atom.
Space group F-43m (No. 216)
Inequivalent atoms, fractional coordinates:
La (0.0000, 0.0000, 0.0000) x4  4 Cd 3.30, 4 Zn 3.30
Nd (0.0000, 0.0000, 0.5000) x4  4 Cd 3.30, 4 Zn 3.30
Zn (0.2500, 0.2500, 0.2500) x4  4 La 3.30, 4 Nd 3.30
Cd (0.2500, 0.2500, 0.7500) x4  4 La 3.30, 4 Nd 3.30

Computed properties:
* magnetic moment: 0.0 μB per formula unit
* crystal system: cubic
* energy relative to the lowest polymorph listed for this composition: 25.4 meV per atom

Entry 10:
Density functional theory data (PBE-GGA) for an optimized crystal structure of La8Tb2Sc3.

Cell: 13.2995 11.7264 5.9968 Å, 90.00 111.04 90.00°
With the nearest neighbours (Å) after each atom.
Space group C2/m (No. 12)
Inequivalent atoms, fractional coordinates:
La (0.0557, 0.0000, 0.2860) x4  2 Tb 3.19-3.23, 4 La 3.21-3.53, 2 Sc 3.31
La (0.1398, 0.5000, 0.5921) x4  1 Tb 3.30, 4 Sc 3.37-3.56, 1 La 3.48
La (0.1545, 0.2573, 0.1395) x8  2 Tb 3.40-3.68, 3 Sc 3.43-3.65, 2 La 3.51-3.53
Tb (0.2020, 0.0000, 0.8388) x4  5 La 3.19-3.40
Sc (0.0000, 0.2422, 0.5000) x4  8 La 3.31-3.65
Sc (0.0000, 0.5000, 0.0000) x2  8 La 3.37-3.56, 2 Tb 3.73

Computed properties:
* magnetic moment: 0.0 μB per formula unit
* crystal system: monoclinic
* raw total energy: -5.032 eV per atom

Entry 11:
Density functional theory data (PBE-GGA) for an optimized crystal structure of Li2Tl3Cd3.

Cell: 7.5382 7.5382 3.8986 Å, 90.00 90.00 120.00°
With the nearest neighbours (Å) after each atom.
Space group P-62m (No. 189)
Inequivalent atoms, fractional coordinates:
Li (0.3333, 0.6667, 0.0000) x2  6 Tl 2.97, 3 Cd 2.99
Tl (0.0000, 0.4264, 0.5000) x3  4 Li 2.97, 2 Cd 3.26
Cd (0.0000, 0.7725, 0.0000) x3  2 Cd 2.97, 2 Li 2.99, 2 Tl 3.26

Computed properties:
* magnetic moment: 0.0 μB per formula unit
* crystal system: hexagonal
* raw total energy: -1.782 eV per atom

Entry 12:
Density functional theory data (PBE-GGA) for an optimized crystal structure of Nd3Ho4Tm4.

Cell: 39.4460 3.5580 5.0078 Å, 90.00 97.28 90.00°
With the nearest neighbours (Å) after each atom.
Space group C2/m (No. 12)
Inequivalent atoms, fractional coordinates:
Nd (0.0000, 0.0000, 0.0000) x2  2 Nd 3.56, 2 Tm 3.56, 8 Ho 3.56
Nd (0.1371, 0.5000, 0.6366) x4  5 Tm 3.55-3.56, 2 Nd 3.56, 5 Ho 3.56-3.57
Ho (0.0461, 0.5000, 0.5457) x4  4 Tm 3.54, 3 Ho 3.56-3.61, 5 Nd 3.56
Ho (0.1834, 0.0000, 0.1830) x4  6 Tm 3.47-3.62, 2 Ho 3.56, 4 Nd 3.57
Tm (0.0910, 0.0000, 0.0905) x4  5 Ho 3.54-3.62, 2 Tm 3.56, 5 Nd 3.56
Tm (0.2279, 0.5000, 0.7277) x4  5 Ho 3.47-3.53, 6 Tm 3.52-3.56, 1 Nd 3.55

Computed properties:
* magnetic moment: 0.0 μB per formula unit
* crystal system: monoclinic
* energy relative to the lowest polymorph listed for this composition: 0.0 meV per atom